Here is a relaxed structure of CuRuSe2 from the Alexandria database. Energies are from PBE.

Values from the calculation:
electronic total energy: -19.10 eV/cell

Geometry as POSCAR:
```
CuRuSe2
1.0
-4.158 1.608 0.452
-0.380 -2.088 3.927
1.142 2.541 1.462
Cu Se Ru
1 2 1
Cartesian
-1.508 2.074 0.957 Cu
0.000 0.000 0.000 Se
-2.269 -0.240 2.190 Se
0.381 0.227 2.694 Ru
```

***

Here is a relaxed structure of TiBe2Tc2 from the Alexandria database. Energies are from PBE.

Values from the calculation:
E_form: 0.019 eV/atom

Geometry as POSCAR:
```
TiBe2Tc2
1.0
7.115 0.000 0.000
0.000 7.115 0.000
0.000 0.000 2.531
Be Tc Ti
4 4 2
Cartesian
4.743 5.930 1.265 Be
2.372 1.185 1.265 Be
5.930 2.372 1.265 Be
1.185 4.743 1.265 Be
4.489 0.932 0.000 Tc
6.183 4.489 0.000 Tc
2.625 6.183 0.000 Tc
0.932 2.625 0.000 Tc
0.000 0.000 0.000 Ti
3.557 3.557 0.000 Ti
```

***

Here is a relaxed structure of H2Rh2Br from the Alexandria database. Energies are from PBE.

Values from the calculation:
electronic total energy: -21.84 eV/cell

Geometry as POSCAR:
```
H2Rh2Br
1.0
3.250 0.000 0.000
0.000 3.250 0.000
1.625 1.625 5.358
H Rh Br
2 2 1
Cartesian
3.250 1.625 2.679 H
1.625 3.250 2.679 H
1.625 1.625 1.745 Rh
3.250 3.250 3.612 Rh
0.000 0.000 0.000 Br
```

***

Here is a relaxed structure of Ti2VRh from the Alexandria database. Energies are from PBE.

Values from the calculation:
E_form: -0.448 eV/atom

Geometry as POSCAR:
```
Ti2VRh
1.0
-1.712 -2.378 0.893
2.529 -1.696 0.331
0.493 1.916 6.046
Rh V Ti
1 1 2
Cartesian
0.655 -1.079 3.635 Rh
0.409 -2.037 0.612 V
0.371 1.441 4.548 Ti
0.122 0.475 1.498 Ti
```

***

Here is a relaxed structure of BaFeOs from the Alexandria database. Energies are from PBE.

Values from the calculation:
E_form: 0.681 eV/atom

Geometry as POSCAR:
```
BaFeOs
1.0
9.930 0.000 0.000
0.000 4.228 0.000
0.000 0.000 7.900
Os Ba Fe
4 4 4
Cartesian
9.449 1.057 0.935 Os
0.481 3.171 6.965 Os
5.446 3.171 4.885 Os
4.484 1.057 3.015 Os
7.054 3.171 7.765 Ba
2.089 3.171 4.084 Ba
2.876 1.057 0.135 Ba
7.841 1.057 3.815 Ba
9.676 1.057 6.538 Fe
4.711 1.057 5.312 Fe
0.254 3.171 1.362 Fe
5.219 3.171 2.588 Fe
```

***

Here is a relaxed structure of TcSb2Te from the Alexandria database. Energies are from PBE.

Values from the calculation:
electronic total energy: -19.59 eV/cell

Geometry as POSCAR:
```
TcSb2Te
1.0
5.076 -0.025 0.018
-1.714 4.777 0.018
1.658 2.344 4.168
Tc Te Sb
1 1 2
Cartesian
3.367 1.160 2.093 Tc
-0.028 3.561 2.093 Te
1.681 2.376 0.018 Sb
0.000 0.000 0.000 Sb
```